<one>
MgSiS3: relaxed, PBE-GGA.

Cell and atoms, written as extended XYZ:
```
5
Lattice="4.7559 0.0000 0.0000 0.0000 4.7559 0.0000 0.0000 0.0000 4.7559" Properties=species:S:1:pos:R:3 pbc="T T T"
S 0.0000 2.3779 0.0000
S 2.3779 0.0000 0.0000
S 0.0000 0.0000 2.3779
Mg 0.0000 0.0000 0.0000
Si 2.3779 2.3779 2.3779
```



<two>
MgSiS3: relaxed, PBE-GGA.

Cell and atoms, written as extended XYZ:
```
10
Lattice="6.2170 0.0000 0.0000 3.1085 5.3841 0.0000 3.1085 1.7947 7.0950" Properties=species:S:1:pos:R:3 pbc="T T T"
S 4.1562 3.5933 5.1613
S 8.2778 3.5854 1.9336
S 7.2440 1.8027 5.1613
S 5.1900 5.3761 1.9336
S 5.1832 1.8066 1.9336
S 7.2508 5.3721 5.1613
Mg 3.1085 1.7947 3.5551
Mg 9.3255 5.3841 3.5398
Si 6.2170 3.5894 2.0449
Si 6.2170 3.5894 5.0501
```



<three>
MgSiS3: relaxed, PBE-GGA.

Cell and atoms, written as extended XYZ:
```
10
Lattice="-1.2378 -1.9386 -2.6931 2.5223 -4.9641 2.4141 -9.6347 -1.4268 5.4555" Properties=species:S:1:pos:R:3 pbc="T T T"
Si -0.6418 -4.9835 2.7179
Si -7.7085 -3.3460 2.4585
S -0.6998 -5.0827 0.4872
S -6.1718 -6.6404 4.1236
S -2.1785 -1.6891 1.0528
S -2.6333 -4.4820 3.2723
S -5.7170 -3.8475 1.9041
S -7.6505 -3.2468 4.6892
Mg -5.1266 -4.3933 4.3544
Mg -3.2237 -3.9362 0.8220
```



Tell me which of them is the most stable. Sure, it is <three>.



<one>
Mg2SiS: relaxed, PBE-GGA.

Cell and atoms, written as extended XYZ:
```
4
Lattice="-2.1103 2.1466 3.6022 -0.4345 4.6742 0.0189 -4.2217 1.9673 -0.5867" Properties=species:S:1:pos:R:3 pbc="T T T"
S -3.3832 4.3940 1.5172
Si 0.0000 0.0000 0.0000
Mg -5.0748 6.5911 2.2758
Mg -1.6916 2.1970 0.7586
```



<two>
Mg2SiS: relaxed, PBE-GGA.

Cell and atoms, written as extended XYZ:
```
8
Lattice="-4.0229 5.0010 -0.8747 -5.0229 -4.0829 -0.2425 -5.0589 0.8420 4.0962" Properties=species:S:1:pos:R:3 pbc="T T T"
S -6.8024 3.1510 1.3315
S 0.0000 0.0000 0.0000
Mg -11.8792 1.2967 2.0864
Mg -4.5430 2.9949 0.4175
Mg -4.7709 -1.8853 0.7928
Mg -7.0165 1.1139 2.6614
Si -7.3024 -1.3909 1.6476
Si -4.5229 0.4590 -0.5586
```



Tell me which of them is the most stable. Sure, it is <two>.



<one>
MgSi3S: relaxed, PBE-GGA.

Cell and atoms, written as extended XYZ:
```
5
Lattice="4.6341 0.0000 0.0000 0.0000 4.6341 0.0000 0.0000 0.0000 4.6341" Properties=species:S:1:pos:R:3 pbc="T T T"
Si 0.0000 0.0000 2.3170
Si 2.3170 0.0000 0.0000
Si 0.0000 2.3170 0.0000
Mg 2.3170 2.3170 2.3170
S 0.0000 0.0000 0.0000
```



<two>
MgSi3S: relaxed, PBE-GGA.

Cell and atoms, written as extended XYZ:
```
5
Lattice="-3.9218 -0.2984 -2.9177 -2.6516 -1.7213 3.7402 -1.2534 4.5750 1.2169" Properties=species:S:1:pos:R:3 pbc="T T T"
Si -1.9609 -0.1492 -1.4589
Si -0.6267 2.2875 0.6084
Si -1.3258 -0.8606 1.8701
Mg 0.0000 0.0000 0.0000
S -3.9134 1.2777 1.0197
```



Tell me which of them is the most stable. Sure, it is <one>.



<one>
Sm2MgS4: relaxed, PBE-GGA.

Cell and atoms, written as extended XYZ:
```
14
Lattice="7.2983 0.0015 0.0000 -2.1070 6.9875 0.0000 -2.5956 -3.4945 5.8580" Properties=species:S:1:pos:R:3 pbc="T T T"
Mg 0.0000 0.0000 0.0000
Mg 3.6491 0.0007 2.9290
Sm 0.0929 1.2866 3.6216
Sm 0.1514 3.9544 0.6926
Sm 3.8006 3.9551 2.2364
Sm 1.1464 -2.2071 5.1654
S 2.3339 5.7536 0.7592
S -1.5978 -0.8778 4.3009
S 2.2383 0.4021 5.0988
S 5.8660 1.7119 1.3719
S 2.2168 1.7112 1.5571
S 0.7918 -1.2347 2.1698
S -2.6513 2.6159 4.4861
S 1.1848 3.8958 3.6882
```



<two>
Sm2MgS4: relaxed, PBE-GGA.

Cell and atoms, written as extended XYZ:
```
14
Lattice="-2.2743 3.9329 -6.6372 -7.4238 3.0506 -0.5219 -1.0999 7.9645 0.2228" Properties=species:S:1:pos:R:3 pbc="T T T"
S -7.6985 7.1399 -2.8781
S -8.8772 9.1533 -6.1547
S -4.6205 9.5316 -2.5156
S -5.7991 11.5450 -5.7922
S -4.0851 5.6551 -2.6241
S -5.1921 7.5693 -5.8546
S -9.4125 13.0299 -6.0462
S -8.3055 11.1156 -2.8157
Sm -5.6117 7.3760 -1.0166
Sm -6.7488 9.3425 -4.3351
Sm -3.0369 7.8172 -4.0742
Sm -6.1989 5.3602 -4.4466
Mg 0.0000 0.0000 0.0000
Mg -2.6995 3.7370 -1.7341
```



<three>
Sm2MgS4: relaxed, PBE-GGA.

Cell and atoms, written as extended XYZ:
```
28
Lattice="-5.9682 3.1219 -2.6047 -4.5398 -5.7372 3.5258 -0.7843 6.5488 9.6464" Properties=species:S:1:pos:R:3 pbc="T T T"
Mg -8.6191 1.5219 6.5570
Mg -4.6854 -2.6090 2.6032
Mg -6.6070 6.5426 7.9642
Mg -2.6732 2.4117 4.0104
Sm -6.4052 -0.2455 9.3768
Sm -9.4027 3.4316 10.6413
Sm -4.8871 4.1791 1.1907
Sm -4.2335 3.4429 8.8216
Sm -7.0588 0.4906 1.7458
Sm -6.7872 3.4149 4.6284
Sm -1.8897 0.5020 -0.0739
Sm -4.5052 0.5187 5.9390
S -7.9148 5.1514 9.2933
S -6.3733 2.1760 7.2695
S -1.3103 4.7561 8.6337
S -5.9597 -1.4800 6.8762
S -8.0169 0.8082 4.3217
S -3.3776 -1.2178 1.2742
S -5.3327 5.4136 3.6913
S -4.2532 6.2955 7.3493
S -4.9191 1.7576 3.2979
S -3.4304 0.6365 8.5539
S -5.7651 2.0918 10.7114
S -9.9821 -0.8225 1.9337
S -7.0392 -2.3619 3.2181
S -3.2754 3.1254 6.2457
S -5.5273 1.8418 -0.1440
S -7.8620 3.2971 2.0135
```



<four>
Sm2MgS4: relaxed, PBE-GGA.

Cell and atoms, written as extended XYZ:
```
28
Lattice="7.3664 -0.0993 -0.0779 -0.3217 8.6799 -0.2556 -1.3733 -2.3817 12.0543" Properties=species:S:1:pos:R:3 pbc="T T T"
S -0.0227 5.2405 6.8918
S 5.1394 4.9296 10.4451
S 4.9322 4.8888 3.8625
S 1.2874 7.5803 4.4658
S 5.6941 0.9584 4.8290
S 1.6032 6.4242 9.8526
S 1.6375 3.1270 11.0920
S 5.4531 0.7579 10.4397
S 1.6816 2.8869 4.4248
S 4.3840 -1.3814 7.2550
S 3.9898 3.3120 7.2960
S 4.0682 -0.2253 1.8682
S 0.5320 1.2693 1.2758
S 4.0339 3.0719 0.6288
S 0.2183 5.4410 1.2812
S 0.7392 1.3101 7.8583
Sm 5.4509 1.1320 7.7113
Sm 1.6918 -1.1476 7.6232
Sm 1.7010 3.7944 8.5389
Sm 1.5004 7.6380 -0.0121
Sm 3.9704 2.4046 3.1819
Sm 4.1710 -1.4391 11.7329
Sm 0.2205 5.0669 4.0095
Sm 3.9797 7.3465 4.0976
Mg 4.1643 2.5944 11.6529
Mg 5.1988 5.2704 8.0157
Mg 1.5071 3.6045 0.0680
Mg 0.4726 0.9285 3.7052
```



Tell me which of them is the most stable. Sure, it is <two>.